The following is a PBE+U calculation of a relaxed structure of CuReWO2, from Alexandria via LeMat-Bulk.

```
CuReWO2
1.0
3.8123 0.0000 0.0000
0.0000 3.8123 0.0000
0.0000 0.0000 5.5191
O Re W Cu
2 1 1 1
Cartesian
0.0000 1.9062 0.0000 O
1.9062 0.0000 0.0000 O
1.9062 1.9062 2.7595 Re
0.0000 0.0000 0.0000 W
0.0000 0.0000 2.7595 Cu
```

- Magnetization: 0.595 μB/atom
- Calculated total energy: -6.53 eV/atom
- E above lowest polymorph: 0.162 eV per atom
- Symmetry: P4/mmm (123)